Entry 1:
Material: Li8Al2Cd
Method: DFT, PBE-GGA
State: relaxed

**Raw total energy**: -24.5 eV per cell
**Calculated volume**: 19.009 Å³/atom
**Energy of formation**: -0.068 eV per atom

```
11
Lattice="-1.512 -0.195 4.389 2.918 -6.147 0.723 4.751 4.572 1.829" Properties=species:S:1:pos:R:3 pbc="T T T"
Li 4.630 -2.953 6.364
Li 2.632 -3.495 3.201
Li 1.033 -1.709 0.279
Li 3.525 1.726 3.740
Li 5.125 -0.060 6.662
Li 4.298 -1.135 3.878
Li 1.860 -0.634 3.063
Li 1.527 1.183 0.577
Cd -0.756 -0.097 2.194
Al 3.622 -2.032 1.148
Al 4.047 0.457 1.404
```

***

Entry 2:
Material: TiV2HgPt
Method: DFT, PBE-GGA
State: relaxed

**Raw total energy**: -24.8 eV per cell
**Calculated volume**: 23.415 Å³/atom
**Energy of formation**: 1.531 eV per atom

```
5
Lattice="-3.197 -3.152 1.922 1.836 -3.578 -2.814 3.208 -1.114 3.510" Properties=species:S:1:pos:R:3 pbc="T T T"
V -1.599 -1.576 0.961
V 1.604 -0.557 1.755
Hg 0.000 0.000 0.000
Pt 0.923 -3.922 1.309
Ti 0.918 -1.789 -1.407
```

***

Entry 3:
Material: Cs2V2PbS6
Method: DFT, PBE-GGA
State: relaxed

**Raw total energy**: -57.4 eV per cell
**Calculated volume**: 32.220 Å³/atom
**Energy relative to the elements, uncorrected**: -817 meV/atom

```
11
Lattice="-0.025 -0.977 -7.474 -0.319 -6.954 -2.891 -7.310 -2.305 -3.475" Properties=species:S:1:pos:R:3 pbc="T T T"
S -1.981 -3.132 -7.186
S -5.674 -7.104 -6.654
S -2.122 -6.000 -4.987
S -2.134 -6.468 -8.573
S -5.521 -3.767 -5.267
S -5.533 -4.236 -8.853
Cs -5.389 -7.693 -10.379
Cs -2.266 -2.542 -3.461
V -2.491 -5.180 -6.916
V -5.163 -5.055 -6.923
Pb 0.000 0.000 0.000
```

***

Entry 4:
Material: Tb2InSbO8
Method: DFT, PBE-GGA
State: relaxed

**Raw total energy**: -80.3 eV per cell
**Calculated volume**: 14.619 Å³/atom
**Energy relative to the elements, uncorrected**: -2046 meV/atom

```
12
Lattice="5.062 -0.105 -0.003 -0.091 5.060 -0.006 0.004 0.008 6.851" Properties=species:S:1:pos:R:3 pbc="T T T"
Tb 2.488 2.483 5.123
Tb 2.486 2.479 1.719
O 1.405 1.406 6.849
O 0.858 4.117 5.322
O 0.856 4.113 1.519
O 1.479 1.473 3.423
O 4.116 0.846 1.520
O 4.118 0.850 5.323
O 3.569 3.557 -0.006
O 3.496 3.490 3.420
Sb 0.000 0.000 0.000
In 0.002 0.004 3.425
```

***

Entry 5:
Material: InRh2Au
Method: DFT, PBE-GGA
State: relaxed

**Raw total energy**: -20.7 eV per cell
**Calculated volume**: 16.749 Å³/atom
**Energy of formation**: -0.002 eV per atom

```
4
Lattice="5.196 -0.800 -1.269 3.474 3.902 1.399 -3.591 -3.703 1.626" Properties=species:S:1:pos:R:3 pbc="T T T"
Au -0.058 0.099 1.513
Rh 2.233 0.799 0.034
Rh 6.437 2.303 0.097
In 0.803 -2.252 0.179
```

***

Entry 6:
Material: Na2AlTe
Method: DFT, PBE-GGA
State: relaxed

**Raw total energy**: -10.2 eV per cell
**Relative energy among the computed polymorphs**: 0.0 meV/atom
**Calculated volume**: 27.449 Å³/atom
**Energy relative to the elements, uncorrected**: -165 meV/atom

```
4
Lattice="0.000 3.801 3.801 3.801 0.000 3.801 3.801 3.801 0.000" Properties=species:S:1:pos:R:3 pbc="T T T"
Na 5.701 5.701 5.701
Na 1.900 1.900 1.900
Te 3.801 3.801 3.801
Al 0.000 0.000 0.000
```

***

Entry 7:
Material: Li2TlRu
Method: DFT, PBE-GGA
State: relaxed

**Raw total energy**: -14.6 eV per cell
**Calculated volume**: 16.567 Å³/atom
**Energy of formation**: 0.229 eV per atom

```
4
Lattice="-2.865 1.457 -0.624 -1.324 -2.909 -0.712 -1.644 -0.700 5.919" Properties=species:S:1:pos:R:3 pbc="T T T"
Tl -3.308 -1.243 3.702
Li -0.039 -0.016 0.139
Li -2.528 -0.910 0.893
Ru -0.781 -0.332 2.810
```

***

Entry 8:
Material: Y3Tm4Sc2
Method: DFT, PBE-GGA
State: relaxed

**Raw total energy**: -97.8 eV per cell
**Relative energy among the computed polymorphs**: 19.6 meV/atom
**Calculated volume**: 29.678 Å³/atom
**Energy of formation**: 0.116 eV per atom

```
18
Lattice="-5.494 0.182 -1.892 -4.216 0.012 8.965 -1.767 9.352 2.751" Properties=species:S:1:pos:R:3 pbc="T T T"
Tm -7.990 5.891 7.847
Tm -3.767 0.514 7.474
Tm -3.488 3.655 1.977
Tm -6.854 1.734 8.091
Tm -7.711 9.032 2.350
Tm -4.624 7.812 1.733
Tm -4.749 7.686 7.539
Tm -6.729 1.860 2.285
Sc -4.334 2.492 4.913
Sc -7.144 7.054 4.911
Sc -6.417 5.115 2.283
Sc -5.061 4.431 7.541
Y -4.085 5.795 4.675
Y -3.647 0.295 2.132
Y -7.392 3.751 5.149
Y -5.672 3.138 -0.645
Y -5.806 6.408 10.469
Y -7.831 9.251 7.692
```